# 1
DFT (PBE) results for a geometry-optimized KGaReO6 structure.

extended XYZ file:
```
9
Lattice="5.261 0.000 0.000 -2.631 4.556 0.000 0.000 0.000 5.936" Properties=species:S:1:pos:R:3 pbc="T T T"
K 0.000 0.000 0.000
Ga 0.000 3.038 2.703
Re 2.631 1.519 3.049
O 2.046 0.029 3.937
O 1.198 1.843 1.726
O 3.066 0.116 1.726
O 1.633 2.770 3.937
O 3.628 2.597 1.726
O 4.213 1.757 3.937
```

Results
The uncorrected formation energy comes out at -1457.5 meV/atom. Its symmetry is P3.

# 2
DFT (PBE) results for a geometry-optimized BeCrRuRh structure.

extended XYZ file:
```
4
Lattice="2.837 0.000 0.000 0.000 2.837 0.000 0.000 0.000 5.901" Properties=species:S:1:pos:R:3 pbc="T T T"
Be 0.000 0.000 0.000
Cr 0.000 0.000 3.006
Ru 1.419 1.419 4.494
Rh 1.419 1.419 1.349
```

Results
The energy above the most stable polymorph in this dataset is 0 meV per atom. Its formation energy from the elements is -0.261 eV/atom. Its symmetry is P4mm.

VASP energy readings, ordered: -59.44, -31.02 eV/cell